The following is a PBE+U calculation of SrNiO after structural relaxation, from Alexandria via LeMat-Bulk.

abc: 3.8886 3.8395 7.8930
angles: 104.05 89.99 90.00
Last column: magnetic moment on the atom in μB.
Fractional positions:
Sr 0.3714 0.7684 0.5887  -0.06
Sr 0.8714 0.0791 0.2099  -0.06
O 0.3713 0.3616 0.7758  -0.12
O 0.3713 0.6085 0.2670  -0.05
Ni 0.8712 0.3733 0.7987  0.79
Ni 0.3712 0.4833 0.0181  0.59

Results
Uncorrected energy: -24.8 eV per cell
M_tot: 0.07 μB per atom
Symmetry: Amm2 (38)
Density of states at the Fermi level: 1.43 states/eV/f.u.